1.
Be3Co5: PBEsol geometry, meta-GGA SCAN.

Computed properties:
For the polymorph energy (0 for the lowest one), the calculation gives 0 meV/atom. The mass density comes out at 7.35 g cm⁻³.

```
Be3Co5
1.0
-1.913 -1.964 -2.504
1.402 -3.868 1.963
-3.905 1.354 1.923
Co Be
5 3
direct
0.500 0.736 0.736
0.000 0.000 0.500
0.000 0.000 0.000
0.000 0.500 0.000
0.500 0.264 0.264
0.000 0.500 0.500
0.500 0.242 0.758
0.500 0.758 0.242
```

2.
SrLa2P2: PBEsol geometry, meta-GGA SCAN.

Computed properties:
The mass density comes out at 4.28 g cm⁻³.

```
SrLa2P2
1.0
5.397 0.000 0.000
0.000 5.397 0.000
-2.699 -2.699 5.693
P Sr La
2 1 2
direct
0.250 0.750 0.500
0.750 0.250 0.500
0.000 0.000 0.000
0.323 0.323 0.647
0.677 0.677 0.353
```

| no. | energy of formation from the pure elements (eV per formula unit) |
| --- | --- |
| 1 | -1.36 |
| 2 | -5.16 |